Material: CsNbS2Cl
Method: DFT, PBE-GGA
State: optimized geometry

Properties
Total moment = 3.00 μB per formula unit
Uncorrected formation energy = 1297 meV/atom
Crystal system = tetragonal
Symmetry = P4/mmm (123)

Unit cell a=5.3944 b=5.3944 c=5.9101 alpha=90.00 beta=90.00 gamma=90.00
Last column: nearest neighbours and their distance in Å.
Atoms (fractional coordinates):
Cs  0.0000  0.0000  0.0000  4 S 2.70, 2 Cl 2.96
Nb  0.5000  0.5000  0.5000  4 Cl 3.81, 8 S 4.00
S  0.0000  0.5000  0.0000  2 Cs 2.70
S  0.5000  0.0000  0.0000  2 Cs 2.70
Cl  0.0000  0.0000  0.5000  2 Cs 2.96